# Be2AgW, optimized geometry, DFT PBE
data_Be2AgW
_chemical_formula_sum 'Be4 Ag2 W2'
_space_group_name_H-M_alt 'A m m 2'
_space_group_IT_number 38
_cell_length_a 3.778
_cell_length_b 2.798
_cell_length_c 9.413
_cell_angle_alpha 90.00
_cell_angle_beta 90.00
_cell_angle_gamma 90.00
loop_
_space_group_symop_operation_xyz
'x,y,z'
'-x,-y,z'
'-x,y,z'
'x,-y,z'
'x,y+1/2,z+1/2'
'-x,-y+1/2,z+1/2'
'-x,y+1/2,z+1/2'
'x,-y+1/2,z+1/2'
loop_
_atom_site_label
_atom_site_type_symbol
_atom_site_fract_x
_atom_site_fract_y
_atom_site_fract_z
_atom_site_occupancy
Be1 Be 0.000 0.000 0.000 1
Be2 Be 0.500 0.000 0.139 1
Ag1 Ag 0.500 0.000 0.416 1
W1 W 0.000 0.000 0.725 1
# - M_tot: 0.000 μB per atom
# - Energy relative to the lowest polymorph listed for this composition: 113 meV/atom
# - Formation energy from the elements: 0.2871 eV/atom